Record 1
Compound: NdZnSi2
Source: the Alexandria database
Functional: GGA-PBE
Structure: relaxed

The size of the total moment is 0.000 μB/atom. The uncorrected energy is -149.279 eV per cell. The calculation puts the formation energy from raw total energies at -443 meV per atom.

The space group is Pnma (No. 62) and the conventional cell measures 13.785, 4.217 and 10.670 Å, with angles of 90.00, 90.00 and 90.00 degrees. The inequivalent atoms are Nd at (0.053, 0.250, 0.243), Nd at (0.192, 0.750, 0.960), Zn at (0.056, 0.250, 0.548), Zn at (0.210, 0.750, 0.661), Si at (0.024, 0.250, 0.959), Si at (0.111, 0.250, 0.770), Si at (0.131, 0.750, 0.451) and Si at (0.214, 0.750, 0.252).

=====

Record 2
Compound: Nd6ZnSi2
Source: the Alexandria database
Functional: GGA-PBE
Structure: relaxed

The size of the total moment is 0.000 μB/atom. The uncorrected energy is -177.409 eV per cell. The calculation puts the formation energy from raw total energies at -403 meV per atom.

The space group is Immm (No. 71) and the conventional cell measures 9.901, 10.018 and 10.358 Å, with angles of 90.00, 90.00 and 90.00 degrees. The inequivalent atoms are Nd at (0.000, 0.199, 0.250), Nd at (0.206, 0.500, 0.174), Nd at (0.233, 0.324, 0.500), Zn at (0.000, 0.000, 0.000), Zn at (0.000, 0.000, 0.500), Si at (0.000, 0.364, 0.000) and Si at (0.000, 0.500, 0.385).

=====

Record 3
Compound: Nd3ZnSi2
Source: the Alexandria database
Functional: GGA-PBE
Structure: relaxed

The size of the total moment is 0.115 μB/atom. The uncorrected energy is -119.566 eV per cell. The calculation puts the formation energy from raw total energies at -578 meV per atom.

The space group is Pnma (No. 62) and the conventional cell measures 11.866, 4.275 and 11.883 Å, with angles of 90.00, 90.00 and 90.00 degrees. The inequivalent atoms are Nd at (0.060, 0.250, 0.118), Nd at (0.124, 0.750, 0.564), Nd at (0.198, 0.250, 0.801), Zn at (0.136, 0.250, 0.362), Si at (0.030, 0.750, 0.319) and Si at (0.192, 0.750, 0.991).

=====

Record 4
Compound: Nd2ZnSi3
Source: the Alexandria database
Functional: GGA-PBE
Structure: relaxed

The size of the total moment is 0.000 μB/atom. The uncorrected energy is -62.406 eV per cell. The calculation puts the formation energy from raw total energies at -687 meV per atom.

The space group is Imm2 (No. 44) and the conventional cell measures 4.161, 4.224 and 14.101 Å, with angles of 90.00, 90.00 and 90.00 degrees. The inequivalent atoms are Nd at (0.000, 0.000, 0.000), Nd at (0.000, 0.500, 0.258), Zn at (0.000, 0.000, 0.590), Si at (0.000, 0.000, 0.421), Si at (0.000, 0.500, 0.671) and Si at (0.000, 0.500, 0.837).

=====

Record 5
Compound: Nd2ZnSi3
Source: the Alexandria database
Functional: GGA-PBE
Structure: relaxed

The size of the total moment is 0.000 μB/atom. The uncorrected energy is -31.083 eV per cell. The calculation puts the formation energy from raw total energies at -667 meV per atom.

The space group is Pmm2 (No. 25) and the conventional cell measures 4.137, 4.239 and 7.071 Å, with angles of 90.00, 90.00 and 90.00 degrees. The inequivalent atoms are Nd at (0.000, 0.000, 0.000), Nd at (0.500, 0.000, 0.487), Zn at (0.000, 0.500, 0.664), Si at (0.000, 0.500, 0.327), Si at (0.500, 0.500, 0.159) and Si at (0.500, 0.500, 0.827).

=====

Record 6
Compound: Nd3Zn9Si2
Source: the Alexandria database
Functional: GGA-PBE
Structure: relaxed

The size of the total moment is 0.000 μB/atom. The uncorrected energy is -82.517 eV per cell. The calculation puts the formation energy from raw total energies at -332 meV per atom.

The space group is Immm (No. 71) and the conventional cell measures 4.347, 9.760 and 12.463 Å, with angles of 90.00, 90.00 and 90.00 degrees. The inequivalent atoms are Nd at (0.000, 0.000, 0.000), Nd at (0.000, 0.000, 0.315), Zn at (0.000, 0.273, 0.136), Zn at (0.000, 0.369, 0.336), Zn at (0.000, 0.500, 0.000) and Si at (0.000, 0.220, 0.500).

=====

Record 7
Compound: Nd2Zn3Si
Source: the Alexandria database
Functional: GGA-PBE
Structure: relaxed

The size of the total moment is 0.000 μB/atom. The uncorrected energy is -21.606 eV per cell. The calculation puts the formation energy from raw total energies at -471 meV per atom.

The space group is Pmm2 (No. 25) and the conventional cell measures 4.069, 4.278 and 7.580 Å, with angles of 90.00, 90.00 and 90.00 degrees. The inequivalent atoms are Nd at (0.000, 0.000, 0.000), Nd at (0.000, 0.500, 0.471), Zn at (0.500, 0.000, 0.649), Zn at (0.500, 0.500, 0.153), Zn at (0.500, 0.500, 0.817) and Si at (0.500, 0.000, 0.321).

=====

Record 8
Compound: Nd4ZnSi3
Source: the Alexandria database
Functional: GGA-PBE
Structure: relaxed

The size of the total moment is 0.026 μB/atom. The uncorrected energy is -41.668 eV per cell. The calculation puts the formation energy from raw total energies at -632 meV per atom.

The space group is Pmm2 (No. 25) and the conventional cell measures 4.025, 4.399 and 11.180 Å, with angles of 90.00, 90.00 and 90.00 degrees. The inequivalent atoms are Nd at (0.000, 0.000, 0.000), Nd at (0.000, 0.500, 0.495), Nd at (0.500, 0.000, 0.713), Nd at (0.500, 0.500, 0.215), Zn at (0.000, 0.500, 0.791), Si at (0.000, 0.000, 0.285), Si at (0.500, 0.000, 0.423) and Si at (0.500, 0.500, 0.929).